1.
Density functional theory data (SCAN) for a crystal of TcAg2Cl relaxed with PBEsol.

POSCAR file:
```
TcAg2Cl
1.0
3.783 0.000 0.000
0.000 3.783 0.000
0.000 0.000 4.736
Tc Ag Cl
1 2 1
direct
0.000 0.000 0.000
0.000 0.500 0.500
0.500 0.000 0.500
0.500 0.500 0.000
```

Output
- M_tot: 0.812 μB/atom
- Excess energy over the best structure of this formula in the dataset: 18.5 kJ per mole of atoms
- Mass density: 8.6 g cm⁻³
- Formation energy without anion corrections: 0.728 eV/atom
- N(E_F): 0.514 states/eV/atom

=====

2.
Density functional theory data (SCAN) for a crystal of MnBe4Co relaxed with PBEsol.

POSCAR file:
```
MnBe4Co
1.0
0.000 2.940 2.940
2.940 0.000 2.940
2.940 2.940 0.000
Mn Be Co
1 4 1
direct
0.000 0.000 0.000
0.125 0.625 0.625
0.625 0.125 0.625
0.625 0.625 0.125
0.625 0.625 0.625
0.250 0.250 0.250
```

Output
- M_tot: 0.689 μB/atom
- Mass density: 4.9 g cm⁻³
- DFT formation energy: -0.3403 eV per atom
- N(E_F): 0.322 states/eV/atom

=====

3.
Density functional theory data (SCAN) for a crystal of TaReRh2 relaxed with PBEsol.

POSCAR file:
```
TaReRh2
1.0
-1.946 1.946 3.866
1.946 -1.946 3.866
1.946 1.946 -3.866
Ta Re Rh
1 1 2
direct
0.000 0.000 0.000
0.750 0.250 0.500
0.250 0.750 0.500
0.500 0.500 0.000
```

Output
- M_tot: 0.000 μB/atom
- Excess energy over the best structure of this formula in the dataset: 11.2 kJ per mole of atoms
- Mass density: 16.2 g cm⁻³
- DFT formation energy: -0.2639 eV per atom
- N(E_F): 0.915 states/eV/atom

=====

4.
Density functional theory data (SCAN) for a crystal of Sc2Ru2W relaxed with PBEsol.

POSCAR file:
```
Sc2Ru2W
1.0
-1.892 1.892 5.986
1.892 -1.892 5.986
1.892 1.892 -5.986
Sc Ru W
2 2 1
direct
0.250 0.750 0.500
0.750 0.250 0.500
0.098 0.098 0.000
0.902 0.902 0.000
0.500 0.500 0.000
```

Output
- M_tot: 0.001 μB/atom
- Mass density: 9.2 g cm⁻³
- DFT formation energy: 0.7115 eV per atom
- N(E_F): 1.370 states/eV/atom

=====

5.
Density functional theory data (SCAN) for a crystal of Fe2TcTe relaxed with PBEsol.

POSCAR file:
```
Fe2TcTe
1.0
2.929 0.000 0.000
0.000 3.695 0.000
0.000 0.000 5.219
Fe Tc Te
2 1 1
direct
0.000 0.000 0.222
0.000 0.000 0.778
0.500 0.500 0.000
0.500 0.500 0.500
```

Output
- M_tot: 1.349 μB/atom
- Mass density: 9.9 g cm⁻³
- Formation energy without anion corrections: 0.469 eV/atom
- N(E_F): 1.242 states/eV/atom

=====

6.
Density functional theory data (SCAN) for a crystal of NaVP2O8 relaxed with PBEsol.

POSCAR file:
```
NaVP2O8
1.0
7.556 0.000 0.000
0.000 14.269 0.000
-1.080 0.000 6.088
Na V P O
4 4 8 32
direct
0.085 0.199 0.124
0.085 0.301 0.624
0.915 0.699 0.376
0.915 0.801 0.876
0.225 0.587 0.789
0.225 0.913 0.289
0.775 0.087 0.711
0.775 0.413 0.211
0.179 0.520 0.275
0.179 0.980 0.775
0.359 0.117 0.537
0.359 0.383 0.037
0.641 0.617 0.963
0.641 0.883 0.463
0.821 0.020 0.225
0.821 0.480 0.725
0.021 0.001 0.233
0.021 0.499 0.733
0.100 0.679 0.731
0.100 0.821 0.231
0.203 0.589 0.093
0.203 0.911 0.593
0.250 0.202 0.463
0.250 0.298 0.963
0.261 0.561 0.498
0.261 0.939 0.998
0.281 0.074 0.749
0.281 0.426 0.249
0.356 0.040 0.368
0.356 0.460 0.868
0.445 0.644 0.855
0.445 0.856 0.355
0.555 0.144 0.645
0.555 0.356 0.145
0.644 0.540 0.132
0.644 0.960 0.632
0.719 0.574 0.751
0.719 0.926 0.251
0.739 0.061 0.002
0.739 0.439 0.502
0.750 0.702 0.037
0.750 0.798 0.537
0.797 0.089 0.407
0.797 0.411 0.907
0.900 0.179 0.769
0.900 0.321 0.269
0.979 0.501 0.267
0.979 0.999 0.767
```

Output
- M_tot: 0.000 μB/atom
- Mass density: 2.7 g cm⁻³
- Formation energy without anion corrections: -2.439 eV/atom
- N(E_F): 0.000 states/eV/atom